A plane-wave DFT calculation with PBE was carried out for a geometry-optimized CsZr2NbO8 structure.

a = 4.8617 Å, b = 4.8617 Å, c = 7.7626 Å
α = 85.00°, β = 85.00°, γ = 87.64°
Last column: nearest neighbours and their distance in Å.
Fractional coordinates of all 12 atoms:
Nb 0.0000 0.0000 0.0000  6 O 2.00-2.09
Zr 0.5257 0.5257 0.2044  4 O 2.01-2.16
Zr 0.4743 0.4743 0.7956  4 O 2.01-2.16
O 0.2524 0.8398 0.8145  1 Nb 2.00, 1 Zr 2.05
O 0.7476 0.1602 0.1855  1 Nb 2.00, 1 Zr 2.05
O 0.1603 0.7476 0.1855  1 Nb 2.00, 1 Zr 2.05
O 0.7046 0.7046 0.9822  1 Zr 2.01, 1 Nb 2.09
O 0.8397 0.2524 0.8145  1 Nb 2.00, 1 Zr 2.05
O 0.2954 0.2954 0.0178  1 Zr 2.01, 1 Nb 2.09
O 0.3961 0.3961 0.5344  1 O 1.49
O 0.6039 0.6039 0.4656  1 O 1.49
Cs 0.0000 0.0000 0.5000  6 O 2.82-2.86

Values from the calculation:
Symmetry: C2/m, No. 12
E_tot, eV/atom: -8.05
E_form (uncorrected), eV/atom: -2.4094
Total moment, μB per formula unit: 0.000
V, Å³/f.u.: 182

A plane-wave DFT calculation with PBE was carried out for a geometry-optimized CeHS structure.

a = 7.0947 Å, b = 7.0947 Å, c = 5.9229 Å
α = 108.99°, β = 118.14°, γ = 109.55°
Last column: nearest neighbours and their distance in Å.
Fractional coordinates of all 12 atoms:
S 0.0080 0.4271 0.9271  4 H 2.61-2.87, 3 Ce 2.85-2.90
S 0.5748 0.0059 0.0728  4 H 2.61-2.87, 3 Ce 2.85-2.90
S 0.3169 0.2480 0.5728  4 H 2.61-2.87, 3 Ce 2.85-2.90
S 0.7500 0.6691 0.4271  4 H 2.61-2.87, 3 Ce 2.85-2.90
H 0.1724 0.8879 0.0731  3 Ce 2.20-2.33, 1 H 2.43
H 0.1525 0.7872 0.4270  3 Ce 2.20-2.33, 1 H 2.43
H 0.4352 0.6507 0.5731  3 Ce 2.20-2.33, 1 H 2.43
H 0.8898 0.0245 0.9270  3 Ce 2.20-2.33, 1 H 2.43
Ce 0.5184 0.9434 0.5001  4 H 2.20-2.33
Ce 0.2586 0.1837 0.9999  2 H 2.22
Ce 0.0662 0.4913 0.4999  2 H 2.22
Ce 0.8066 0.7317 0.0001  4 H 2.20-2.33

Values from the calculation:
Symmetry: C2/c, No. 15
E_tot, eV/atom: -5.82
Total moment, μB per formula unit: 0.979
V, Å³/f.u.: 50

A plane-wave DFT calculation with PBE was carried out for a geometry-optimized Pr2Th2Ru3 structure.

a = 4.4976 Å, b = 6.2704 Å, c = 7.3294 Å
α = 98.68°, β = 90.05°, γ = 111.00°
Last column: nearest neighbours and their distance in Å.
Fractional coordinates of all 7 atoms:
Ru 0.0000 0.0000 0.0000  2 Pr 2.85, 4 Th 2.88, 2 Ru 3.10
Ru 0.8073 0.6142 0.2445  3 Th 2.65-2.94, 1 Pr 2.85
Ru 0.1927 0.3858 0.7555  3 Th 2.65-2.94, 1 Pr 2.85
Pr 0.8687 0.7385 0.6370  2 Ru 2.85
Pr 0.1313 0.2615 0.3630  2 Ru 2.85
Th 0.6326 0.2656 0.9075  5 Ru 2.65-2.94
Th 0.3674 0.7344 0.0925  5 Ru 2.65-2.94

Values from the calculation:
Symmetry: P-1, No. 2
E_tot, eV/atom: -7.74
Total moment, μB per formula unit: 0.000
V, Å³/f.u.: 190